First-principles (PBE) data for a relaxed structure of MnNi2MoN, as listed in the Alexandria database.

Cell lengths 3.817, 3.817, 4.047 Å; angles 90.00, 90.00, 90.00 degrees
Fractional coordinates of all 5 atoms:
Mn1 0.000 0.000 0.000
Ni1 0.000 0.500 0.500
Ni2 0.500 0.000 0.500
Mo1 0.500 0.500 0.000
N1 0.500 0.500 0.500

**Space-group type**: P4/mmm
**Total energy**: -39.99 eV per cell
**Crystal system**: tetragonal
**E_form (uncorrected)**: -0.48 kcal/mol of atoms
**Magnetization**: 3.85 μB/f.u.